Entry from Alexandria via LeMat-Bulk: a relaxed structure of TlBi2Rh (GGA-PBE).

For the calculated formation energy, the calculation gives -0.04 eV/atom. As for the total magnetization: 0.000 μB/f.u. As for the space group: R-3m, No. 166. The total energy comes out at -17.65 eV per cell. The calculation puts the relative energy among the computed polymorphs at 5.5 kJ/mol of atoms.

a = 4.162 Å, b = 4.162 Å, c = 7.961 Å
α = 74.85°, β = 74.85°, γ = 60.00°
Fractional coordinates of all 4 atoms:
Rh  0.000  0.000  0.000
Tl  0.500  0.500  0.500
Bi  0.726  0.726  0.821
Bi  0.274  0.274  0.179